The following is a DFT calculation (GGA-PBE) of crystalline La4TlSn3 at its relaxed geometry.

## Properties
The calculation puts the energy relative to the elements at -0.71 eV/atom. The volume comes out at 32.6 A^3/atom. The total magnetization comes out at 0.01 μB/f.u.

```
8
Lattice="4.4862 0.0000 0.0000 0.0000 4.8266 0.0000 0.0000 0.0000 12.0279" Properties=species:S:1:pos:R:3 pbc="T T T"
La 0.0000 0.0000 0.0000
La 0.0000 2.4133 5.9800
La 2.2431 0.0000 8.7305
La 2.2431 2.4133 2.7275
Tl 0.0000 2.4133 9.3261
Sn 0.0000 0.0000 3.3141
Sn 2.2431 0.0000 5.3999
Sn 2.2431 2.4133 11.3946
```

***

The following is a DFT calculation (GGA-PBE) of crystalline CsTeI2O8 at its relaxed geometry.

## Properties
The volume comes out at 19.2 A^3/atom. As for the uncorrected formation energy: -0.6073 eV per atom. The total magnetization comes out at 0.00 μB/f.u.

```
12
Lattice="5.8209 -2.9324 0.0000 5.8209 2.9324 0.0000 -2.5356 0.0000 6.7514" Properties=species:S:1:pos:R:3 pbc="T T T"
Cs 0.0000 0.0000 0.0000
Te 4.5530 0.0000 3.3757
I 0.8775 0.0000 4.5117
I 8.2286 0.0000 2.2397
O 3.6872 1.4586 2.0928
O 1.0063 0.0000 2.7274
O 5.4189 1.4586 4.6586
O 2.9572 0.0000 4.6571
O 6.1489 0.0000 2.0943
O 3.6872 -1.4586 2.0928
O 8.0997 0.0000 4.0240
O 5.4189 -1.4586 4.6586
```

***

The following is a DFT calculation (GGA-PBE) of crystalline Mn4Re at its relaxed geometry.

## Properties
The calculation puts the energy relative to the elements at 1.41 eV/atom. The volume comes out at 18.9 A^3/atom. The distance to the lowest polymorph of the same formula comes out at 1318 meV/atom. The total magnetization comes out at 11.32 μB/f.u.

```
5
Lattice="4.5514 0.0000 0.0000 0.0000 4.5514 0.0000 0.0000 0.0000 4.5514" Properties=species:S:1:pos:R:3 pbc="T T T"
Mn 0.0000 0.0000 0.0000
Mn 0.0000 2.2757 2.2757
Mn 2.2757 0.0000 2.2757
Mn 2.2757 2.2757 0.0000
Re 2.2757 2.2757 2.2757
```

***

The following is a DFT calculation (GGA-PBE) of crystalline Ge2AsCl2 at its relaxed geometry.

## Properties
The volume comes out at 23.8 A^3/atom. As for the uncorrected formation energy: 0.3170 eV per atom. The distance to the lowest polymorph of the same formula comes out at 166 meV/atom. The total magnetization comes out at 0.00 μB/f.u.

```
10
Lattice="5.2380 0.0000 0.0000 0.0000 5.2380 0.0000 0.0000 0.0000 8.6868" Properties=species:S:1:pos:R:3 pbc="T T T"
Ge 0.0000 2.6190 2.1717
Ge 0.0000 2.6190 6.5151
Ge 2.6190 0.0000 2.1717
Ge 2.6190 0.0000 6.5151
As 0.0000 0.0000 0.0000
As 2.6190 2.6190 4.3434
Cl 0.0000 0.0000 2.9307
Cl 0.0000 0.0000 5.7560
Cl 2.6190 2.6190 1.4127
Cl 2.6190 2.6190 7.2741
```

***

The following is a DFT calculation (GGA-PBE) of crystalline ZnGa3Cu7 at its relaxed geometry.

## Properties
The calculation puts the energy relative to the elements at 0.07 eV/atom. The volume comes out at 14.4 A^3/atom. The total magnetization comes out at 0.00 μB/f.u.

```
11
Lattice="4.2252 -4.3125 0.0000 4.2252 4.3125 0.0000 -2.0669 0.0000 4.3449" Properties=species:S:1:pos:R:3 pbc="T T T"
Zn 0.0000 0.0000 0.0000
Ga 3.1918 1.8413 2.1725
Ga 4.2252 0.0000 0.0000
Ga 3.1918 -1.8413 2.1725
Cu -1.0335 0.0000 2.1725
Cu 1.0446 2.0914 3.5529
Cu 1.4493 0.0000 1.9954
Cu 5.3389 2.0914 0.7921
Cu 1.0446 -2.0914 3.5529
Cu 4.9342 0.0000 2.3496
Cu 5.3389 -2.0914 0.7921
```

***

The following is a DFT calculation (GGA-PBE) of crystalline Ga4Ru2Pt at its relaxed geometry.

## Properties
The calculation puts the energy relative to the elements at -0.38 eV/atom. The volume comes out at 15.7 A^3/atom. The total magnetization comes out at 0.00 μB/f.u.

```
14
Lattice="6.0248 0.0000 0.0000 0.0000 6.0248 0.0000 0.0000 0.0000 6.0700" Properties=species:S:1:pos:R:3 pbc="T T T"
Ga 1.5062 1.5062 1.5175
Ga 1.5062 1.5062 4.5525
Ga 1.5062 4.5186 1.5175
Ga 1.5062 4.5186 4.5525
Ga 4.5186 1.5062 1.5175
Ga 4.5186 1.5062 4.5525
Ga 4.5186 4.5186 1.5175
Ga 4.5186 4.5186 4.5525
Ru 0.0000 3.0124 0.0000
Ru 0.0000 3.0124 3.0350
Ru 3.0124 0.0000 0.0000
Ru 3.0124 0.0000 3.0350
Pt 0.0000 0.0000 0.0000
Pt 3.0124 3.0124 3.0350
```

***

The following is a DFT calculation (GGA-PBE) of crystalline K2Sr4Ru at its relaxed geometry.

## Properties
The calculation puts the energy relative to the elements at 0.22 eV/atom. The volume comes out at 54.7 A^3/atom. The total magnetization comes out at 0.00 μB/f.u.

```
14
Lattice="6.0298 0.0000 0.0000 0.0000 6.0298 0.0000 0.0000 0.0000 21.0815" Properties=species:S:1:pos:R:3 pbc="T T T"
K 0.0000 0.0000 3.4454
K 0.0000 0.0000 17.6361
K 3.0149 3.0149 7.0953
K 3.0149 3.0149 13.9862
Sr 0.0000 0.0000 7.7165
Sr 0.0000 0.0000 13.3650
Sr 0.0000 3.0149 0.0000
Sr 0.0000 3.0149 10.5408
Sr 3.0149 0.0000 0.0000
Sr 3.0149 0.0000 10.5408
Sr 3.0149 3.0149 2.8243
Sr 3.0149 3.0149 18.2572
Ru 0.0000 0.0000 10.5408
Ru 3.0149 3.0149 0.0000
```

***

The following is a DFT calculation (GGA-PBE) of crystalline Ac5SmSe6 at its relaxed geometry.

## Properties
The volume comes out at 30.5 A^3/atom. As for the uncorrected formation energy: -1.8506 eV per atom. The total magnetization comes out at 0.00 μB/f.u.

```
12
Lattice="3.8214 -6.6413 0.0000 3.8214 6.6413 0.0000 -2.5726 0.0000 7.2095" Properties=species:S:1:pos:R:3 pbc="T T T"
Ac 0.0000 0.0000 0.0000
Ac 2.5351 4.4420 3.6047
Ac 3.8214 2.2649 0.0000
Ac 3.8214 -2.2649 0.0000
Ac 2.5351 -4.4420 3.6047
Sm 2.5351 0.0000 3.6047
Se 1.3133 2.1442 1.8677
Se 0.0704 0.0000 5.3831
Se 1.3133 -2.1442 1.8677
Se 3.7569 2.1442 5.3418
Se 4.9998 0.0000 1.8264
Se 3.7569 -2.1442 5.3418
```

***

The following is a DFT calculation (GGA-PBE) of crystalline Pm3Y7Ho2 at its relaxed geometry.

## Properties
The calculation puts the energy relative to the elements at 0.09 eV/atom. The volume comes out at 32.9 A^3/atom. The distance to the lowest polymorph of the same formula comes out at 0 meV/atom. The total magnetization comes out at 0.00 μB/f.u.

```
12
Lattice="5.8583 0.0000 0.0000 0.0000 3.5805 0.0000 -1.0401 0.0000 18.8200" Properties=species:S:1:pos:R:3 pbc="T T T"
Pm 0.0000 0.0000 0.0000
Pm 0.9693 1.7903 11.9300
Pm 3.8489 1.7903 6.8900
Y 0.9543 1.7903 2.7103
Y 0.9414 0.0000 8.7064
Y 0.9492 0.0000 15.4709
Y 2.9291 1.7903 0.0000
Y 3.8689 0.0000 3.3491
Y 3.8768 0.0000 10.1136
Y 3.8639 1.7903 16.1097
Ho 0.9261 0.0000 5.5190
Ho 3.8921 0.0000 13.3010
```

***

The following is a DFT calculation (GGA-PBE) of crystalline Zr5N4 at its relaxed geometry.

## Properties
The volume comes out at 14.5 A^3/atom. As for the uncorrected formation energy: -1.2069 eV per atom. The total magnetization comes out at 0.00 μB/f.u.

```
9
Lattice="-4.4776 4.4776 1.6314 4.4776 -4.4776 1.6314 4.4776 4.4776 -1.6314" Properties=species:S:1:pos:R:3 pbc="T T T"
Zr 0.0000 0.0000 0.0000
Zr 5.1960 2.0510 0.0000
Zr 2.0510 3.7592 0.0000
Zr 2.4266 0.7184 1.6314
Zr -0.7184 2.4266 1.6314
N 7.0326 0.9861 0.0000
N 0.9861 1.9225 0.0000
N 3.4914 2.5550 1.6314
N -2.5550 3.4914 1.6314
```

***

The following is a DFT calculation (GGA-PBE) of crystalline MgScTc at its relaxed geometry.

## Properties
The calculation puts the energy relative to the elements at 0.04 eV/atom. The volume comes out at 17.9 A^3/atom. The distance to the lowest polymorph of the same formula comes out at 0 meV/atom. The total magnetization comes out at 0.00 μB/f.u.

```
3
Lattice="4.6513 0.0000 0.0000 -2.3257 4.0281 0.0000 0.0000 0.0000 2.8641" Properties=species:S:1:pos:R:3 pbc="T T T"
Mg 0.0000 0.0000 0.0000
Sc 0.0000 2.6854 1.4321
Tc 2.3257 1.3427 1.4321
```

***

The following is a DFT calculation (GGA-PBE) of crystalline LiTbNd2 at its relaxed geometry.

## Properties
The calculation puts the energy relative to the elements at 0.06 eV/atom. The volume comes out at 30.8 A^3/atom. The distance to the lowest polymorph of the same formula comes out at 0 meV/atom. The total magnetization comes out at 0.00 μB/f.u.

```
4
Lattice="3.6545 0.0000 0.0000 0.0000 3.6545 0.0000 0.0000 0.0000 9.2275" Properties=species:S:1:pos:R:3 pbc="T T T"
Li 0.0000 0.0000 0.0000
Tb 0.0000 0.0000 4.6137
Nd 1.8273 1.8273 2.1140
Nd 1.8273 1.8273 7.1135
```

***

The following is a DFT calculation (GGA-PBE) of crystalline ScTaZn2 at its relaxed geometry.

## Properties
The calculation puts the energy relative to the elements at 0.08 eV/atom. The volume comes out at 18.1 A^3/atom. The distance to the lowest polymorph of the same formula comes out at 201 meV/atom. The total magnetization comes out at 0.00 μB/f.u.

```
12
Lattice="2.9971 0.0000 0.0000 -1.4986 2.5956 0.0000 0.0000 0.0000 27.8458" Properties=species:S:1:pos:R:3 pbc="T T T"
Sc 0.0000 0.0000 0.0000
Sc 0.0000 1.7304 18.5639
Sc 1.4986 0.8652 9.2819
Ta 0.0000 0.0000 13.9229
Ta 0.0000 1.7304 4.6410
Ta 1.4986 0.8652 23.2048
Zn 0.0000 0.0000 6.9281
Zn 0.0000 0.0000 20.9177
Zn 0.0000 1.7304 11.6358
Zn 0.0000 1.7304 25.4919
Zn 1.4986 0.8652 2.3539
Zn 1.4986 0.8652 16.2100
```

***

The following is a DFT calculation (GGA-PBE) of crystalline FeSiOs2 at its relaxed geometry.

## Properties
The volume comes out at 13.4 A^3/atom. As for the uncorrected formation energy: 0.0430 eV per atom. The total magnetization comes out at 2.63 μB/f.u.

```
8
Lattice="8.2419 0.0000 0.0000 0.0000 2.7553 0.0000 -0.9725 0.0000 4.7262" Properties=species:S:1:pos:R:3 pbc="T T T"
Fe 0.0000 0.0000 0.0000
Fe 4.1209 1.3776 0.0000
Si -0.4863 1.3776 2.3631
Si 3.6347 0.0000 2.3631
Os 1.2777 0.0000 3.5510
Os 1.8707 1.3776 1.1752
Os 5.3987 1.3776 3.5510
Os 5.9916 0.0000 1.1752
```

***

The following is a DFT calculation (GGA-PBE) of crystalline ZrPbO4 at its relaxed geometry.

## Properties
The volume comes out at 14.0 A^3/atom. As for the uncorrected formation energy: -2.0300 eV per atom. The distance to the lowest polymorph of the same formula comes out at 0 meV/atom. The total magnetization comes out at 0.00 μB/f.u.

```
12
Lattice="-3.5210 3.5210 3.3945 3.5210 -3.5210 3.3945 3.5210 3.5210 -3.3945" Properties=species:S:1:pos:R:3 pbc="T T T"
Zr 0.0000 0.0000 0.0000
Zr 0.0000 3.5210 1.6972
Pb 3.5210 0.0000 1.7449
Pb 0.0000 0.0000 3.4422
O 3.5210 1.3497 -0.0224
O 2.1713 3.5210 -1.7196
O 1.3497 0.0000 1.6749
O 0.0000 2.1362 0.0926
O 0.0000 4.9058 0.0926
O 2.1362 3.5210 1.7898
O 1.3848 0.0000 5.1843
O 0.0000 2.1713 3.3721
```

***

The following is a DFT calculation (GGA-PBE) of crystalline CrRuPb2 at its relaxed geometry.

## Properties
The calculation puts the energy relative to the elements at 0.60 eV/atom. The volume comes out at 19.8 A^3/atom. The distance to the lowest polymorph of the same formula comes out at 277 meV/atom. The total magnetization comes out at 2.61 μB/f.u.

```
4
Lattice="4.7196 0.0000 0.0000 0.0000 4.7196 0.0000 0.0000 0.0000 3.5508" Properties=species:S:1:pos:R:3 pbc="T T T"
Cr 0.0000 0.0000 0.0000
Ru 2.3598 2.3598 0.0000
Pb 0.0000 2.3598 1.7754
Pb 2.3598 0.0000 1.7754
```

***

The following is a DFT calculation (GGA-PBE) of crystalline Ba3InTc at its relaxed geometry.

## Properties
The calculation puts the energy relative to the elements at 0.38 eV/atom. The volume comes out at 40.1 A^3/atom. The distance to the lowest polymorph of the same formula comes out at 0 meV/atom. The total magnetization comes out at 0.00 μB/f.u.

```
5
Lattice="5.8539 0.0000 0.0000 0.0000 5.8539 0.0000 0.0000 0.0000 5.8539" Properties=species:S:1:pos:R:3 pbc="T T T"
Ba 0.0000 0.0000 2.9270
Ba 0.0000 2.9270 0.0000
Ba 2.9270 0.0000 0.0000
In 2.9270 2.9270 2.9270
Tc 0.0000 0.0000 0.0000
```

***

The following is a DFT calculation (GGA-PBE) of crystalline Li5Tl3 at its relaxed geometry.

## Properties
The calculation puts the energy relative to the elements at -0.23 eV/atom. The volume comes out at 19.7 A^3/atom. The distance to the lowest polymorph of the same formula comes out at 0 meV/atom. The total magnetization comes out at 0.00 μB/f.u.

```
16
Lattice="7.0790 0.0000 0.0000 0.0000 9.4022 0.0000 0.0000 0.0000 4.7341" Properties=species:S:1:pos:R:3 pbc="T T T"
Li 0.0000 0.0000 0.0000
Li 1.6269 4.7011 2.3671
Li 1.7697 2.3505 0.0000
Li 1.7697 7.0516 0.0000
Li 1.9126 0.0000 2.3671
Li 3.5395 4.7011 0.0000
Li 5.1664 0.0000 2.3671
Li 5.3092 2.3505 0.0000
Li 5.3092 7.0516 0.0000
Li 5.4521 4.7011 2.3671
Tl 0.0000 2.1545 2.3671
Tl 0.0000 4.7011 0.0000
Tl 0.0000 7.2477 2.3671
Tl 3.5395 0.0000 0.0000
Tl 3.5395 2.5466 2.3671
Tl 3.5395 6.8556 2.3671
```

***

The following is a DFT calculation (GGA-PBE) of crystalline CaPuSeO2 at its relaxed geometry.

## Properties
The volume comes out at 18.1 A^3/atom. As for the uncorrected formation energy: -2.5411 eV per atom. The total magnetization comes out at 4.00 μB/f.u.

```
10
Lattice="3.8571 0.0000 0.0000 0.0000 3.8571 0.0000 0.0000 0.0000 12.1731" Properties=species:S:1:pos:R:3 pbc="T T T"
Ca 0.0000 0.0000 0.0000
Ca 1.9285 1.9285 6.0865
Pu 0.0000 0.0000 3.7623
Pu 1.9285 1.9285 9.8488
Se 0.0000 0.0000 7.9758
Se 1.9285 1.9285 1.8892
O 0.0000 1.9285 4.7771
O 0.0000 1.9285 10.8637
O 1.9285 0.0000 4.7771
O 1.9285 0.0000 10.8637
```

***

The following is a DFT calculation (GGA-PBE) of crystalline KRb8Au2S at its relaxed geometry.

## Properties
The volume comes out at 64.1 A^3/atom. As for the uncorrected formation energy: -0.2688 eV per atom. The total magnetization comes out at 0.01 μB/f.u.

```
12
Lattice="8.2406 0.0000 0.0000 0.1533 8.4674 0.0000 0.1381 0.0676 11.0207" Properties=species:S:1:pos:R:3 pbc="T T T"
K 0.0000 0.0000 0.0000
Rb 2.1945 7.0514 7.6321
Rb 2.1912 7.0851 3.3611
Rb 2.1585 2.6127 5.5310
Rb 2.3530 3.4740 0.0282
Rb 6.1789 5.0610 10.9925
Rb 6.3734 5.9223 5.4898
Rb 6.3408 1.4499 7.6596
Rb 6.3375 1.4836 3.3887
Au 4.2988 4.2750 8.0290
Au 4.2332 4.2600 2.9917
S 0.0690 0.0338 5.5104
```